{"formula": "SrTeBr2", "functional": "meta-GGA SCAN", "state": "single point on PBEsol structure", "lattice_angstrom": [[4.658, 0.000, 0.000], [0.000, 4.658, 0.000], [0.000, 0.000, 6.053]], "species": ["Br", "Br", "Sr", "Te"], "fractional_positions": [[0.000, 0.000, 0.024], [0.500, 0.500, 0.258], [0.000, 0.000, 0.532], [0.500, 0.500, 0.687]], "dos_at_fermi_per_ev_cell": 0.754, "formation_energy_uncorrected_mev_per_atom": -1214.1, "m_tot_mub_per_cell": 0.00}

=====

{"formula": "Ni2PbW", "functional": "meta-GGA SCAN", "state": "single point on PBEsol structure", "lattice_angstrom": [[-2.847, -0.626, 0.229], [0.961, -3.352, 2.790], [0.608, 4.786, 1.967]], "species": ["Pb", "Ni", "Ni", "W"], "fractional_positions": [[0.485, 0.485, 0.971], [0.014, 0.014, 0.028], [0.738, 0.238, 0.476], [0.262, 0.762, 0.525]], "dos_at_fermi_per_ev_cell": 3.077, "m_tot_mub_per_cell": 0.00, "formation_enthalpy_0k_ev_per_atom": 0.641}

=====

{"formula": "K2LiAg", "functional": "meta-GGA SCAN", "state": "single point on PBEsol structure", "lattice_angstrom": [[5.828, 0.000, 0.000], [-2.914, 5.110, 0.066], [0.000, 3.261, 4.830]], "species": ["Ag", "Li", "K", "K"], "fractional_positions": [[0.500, 0.000, 0.500], [0.000, 0.000, 0.000], [0.250, 0.500, 0.250], [0.750, 0.500, 0.750]], "dos_at_fermi_per_ev_cell": 1.479, "m_tot_mub_per_cell": 0.01, "formation_enthalpy_0k_ev_per_atom": 0.184}